1.
Computed, not measured: crystalline ZrSbPb2 at its relaxed geometry at the PBE level of DFT.

```
data_ZrSbPb2
_chemical_formula_sum 'Zr2 Sb2 Pb4'
_cell_length_a 4.3273
_cell_length_b 5.4090
_cell_length_c 9.3703
_cell_angle_alpha 90.00
_cell_angle_beta 90.00
_cell_angle_gamma 90.00
_space_group_name_H-M_alt 'C m m 2'
_space_group_IT_number 35
loop_
_space_group_symop_operation_xyz
'x,y,z'
'-x,-y,z'
'-x,y,z'
'x,-y,z'
'x+1/2,y+1/2,z'
'-x+1/2,-y+1/2,z'
'-x+1/2,y+1/2,z'
'x+1/2,-y+1/2,z'
loop_
_atom_site_label
_atom_site_fract_x
_atom_site_fract_y
_atom_site_fract_z
Zr1 0.0000 0.0000 0.0000
Sb1 0.0000 0.5000 0.2076
Pb1 0.0000 0.0000 0.4939
Pb2 0.0000 0.5000 0.7659
```



2.
Computed, not measured: crystalline ZrSbPb2 at its relaxed geometry at the PBE level of DFT.

```
data_ZrSbPb2
_chemical_formula_sum 'Zr4 Sb4 Pb8'
_cell_length_a 6.8009
_cell_length_b 6.8009
_cell_length_c 13.7900
_cell_angle_alpha 90.00
_cell_angle_beta 90.00
_cell_angle_gamma 90.00
_space_group_name_H-M_alt 'I -4 2 d'
_space_group_IT_number 122
_space_group_name_Hall 'I -4 2bw'
loop_
_atom_site_label
_atom_site_fract_x
_atom_site_fract_y
_atom_site_fract_z
Zr1 0.0000 0.0000 0.0000
Sb1 0.0000 0.0000 0.5000
Pb1 0.2389 0.2500 0.1250
```



3.
Computed, not measured: crystalline Zr10Sb3Pb3 at its relaxed geometry at the PBE level of DFT.

```
data_Zr10Sb3Pb3
_chemical_formula_sum 'Zr10 Sb3 Pb3'
_cell_length_a 8.5838
_cell_length_b 8.5838
_cell_length_c 5.8371
_cell_angle_alpha 90.00
_cell_angle_beta 90.00
_cell_angle_gamma 120.00
_space_group_name_H-M_alt 'P -6 2 m'
_space_group_IT_number 189
_space_group_name_Hall 'P -6 -2'
loop_
_atom_site_label
_atom_site_fract_x
_atom_site_fract_y
_atom_site_fract_z
Zr1 0.0000 0.2511 0.0000
Zr2 0.0000 0.7490 0.5000
Zr3 0.3333 0.6667 0.2523
Sb1 0.0000 0.3876 0.5000
Pb1 0.0000 0.6103 0.0000
```



4.
Computed, not measured: crystalline ZrSb2Pb at its relaxed geometry at the PBE level of DFT.

```
data_ZrSb2Pb
_chemical_formula_sum 'Zr2 Sb4 Pb2'
_cell_length_a 10.7863
_cell_length_b 3.3722
_cell_length_c 5.9185
_cell_angle_alpha 90.00
_cell_angle_beta 100.85
_cell_angle_gamma 90.00
_space_group_name_H-M_alt 'C 1 2/m 1'
_space_group_IT_number 12
loop_
_space_group_symop_operation_xyz
'x,y,z'
'-x,-y,-z'
'-x,y,-z'
'x,-y,z'
'x+1/2,y+1/2,z'
'-x+1/2,-y+1/2,-z'
'-x+1/2,y+1/2,-z'
'x+1/2,-y+1/2,z'
loop_
_atom_site_label
_atom_site_fract_x
_atom_site_fract_y
_atom_site_fract_z
Zr1 0.0000 0.0000 0.0000
Sb1 0.2309 0.5000 0.2079
Pb1 0.0000 0.5000 0.5000
```



Number 1: ΔE_f (raw) -11.38 kJ per mole of atoms, calculated total energy -5.140 eV per atom. Number 2: ΔE_f (raw) 56.66 kJ per mole of atoms, calculated total energy -4.435 eV per atom. Number 3: ΔE_f (raw) -44.46 kJ per mole of atoms, calculated total energy -7.272 eV per atom. Number 4: ΔE_f (raw) -9.12 kJ per mole of atoms, calculated total energy -5.220 eV per atom.